No. 1
Density functional theory data (PBE) for a relaxed structure of Pr3Sn2Pd7.

a = 15.0214 Å, b = 15.0214 Å, c = 15.0214 Å
α = 163.94°, β = 163.94°, γ = 22.79°
Closest atoms and distances in Å follow each position.
Sites, in units of the cell vectors:
Pr: 0.0000 0.0000 0.0000  12 Pd 2.97-3.00
Pr: 0.1789 0.1789 0.0000  5 Pd 2.96-3.21
Pr: 0.8211 0.8211 0.0000  5 Pd 2.96-3.21
Sn: 0.3725 0.3725 0.0000  5 Pd 2.64-2.75
Sn: 0.6275 0.6275 0.0000  5 Pd 2.64-2.75
Pd: 0.0730 0.5730 0.5000  2 Sn 2.64
Pd: 0.2793 0.2793 0.0000  1 Sn 2.75, 1 Pr 2.96
Pd: 0.4270 0.9270 0.5000  2 Sn 2.64
Pd: 0.5000 0.5000 0.0000  4 Pr 2.97, 8 Pd 3.00
Pd: 0.5730 0.0730 0.5000  2 Sn 2.64
Pd: 0.7207 0.7207 0.0000  1 Sn 2.75, 1 Pr 2.96
Pd: 0.9270 0.4270 0.5000  2 Sn 2.64

Computed properties:
Density of states at the Fermi level in states/eV/f.u.: 8.16
Formation energy from the elements in eV per atom: -0.67

No. 2
Density functional theory data (PBE) for a relaxed structure of Pr3Sn2Pd6.

a = 8.5123 Å, b = 8.5123 Å, c = 8.5123 Å
α = 109.47°, β = 109.47°, γ = 109.47°
Closest atoms and distances in Å follow each position.
Sites, in units of the cell vectors:
Pr: 0.0000 0.2883 0.2883  8 Pd 3.05-3.37
Pr: 0.0000 0.7117 0.7117  8 Pd 3.05-3.37
Pr: 0.2883 0.0000 0.2883  8 Pd 3.05-3.37
Pr: 0.2883 0.2883 0.0000  8 Pd 3.05-3.37
Pr: 0.7117 0.0000 0.7117  8 Pd 3.05-3.37
Pr: 0.7117 0.7117 0.0000  8 Pd 3.05-3.37
Sn: 0.0000 0.0000 0.5000  6 Pd 2.75
Sn: 0.0000 0.5000 0.0000  6 Pd 2.75
Sn: 0.5000 0.0000 0.0000  6 Pd 2.75
Sn: 0.5000 0.5000 0.5000  6 Pd 2.75
Pd: 0.0000 0.3393 0.6607  2 Sn 2.75, 4 Pd 2.84, 2 Pr 3.05
Pd: 0.0000 0.6607 0.3393  2 Sn 2.75, 4 Pd 2.84, 2 Pr 3.05
Pd: 0.3213 0.6607 0.6607  2 Sn 2.75, 4 Pd 2.84, 2 Pr 3.05
Pd: 0.3393 0.0000 0.6607  2 Sn 2.75, 4 Pd 2.84, 2 Pr 3.05
Pd: 0.3393 0.3393 0.6787  2 Sn 2.75, 4 Pd 2.84, 2 Pr 3.05
Pd: 0.3393 0.6607 0.0000  2 Sn 2.75, 4 Pd 2.84, 2 Pr 3.05
Pd: 0.3393 0.6787 0.3393  2 Sn 2.75, 4 Pd 2.84, 2 Pr 3.05
Pd: 0.6607 0.0000 0.3393  2 Sn 2.75, 4 Pd 2.84, 2 Pr 3.05
Pd: 0.6607 0.3213 0.6607  2 Sn 2.75, 4 Pd 2.84, 2 Pr 3.05
Pd: 0.6607 0.3393 0.0000  2 Sn 2.75, 4 Pd 2.84, 2 Pr 3.05
Pd: 0.6607 0.6607 0.3213  2 Sn 2.75, 4 Pd 2.84, 2 Pr 3.05
Pd: 0.6787 0.3393 0.3393  2 Sn 2.75, 4 Pd 2.84, 2 Pr 3.05

Computed properties:
Density of states at the Fermi level in states/eV/f.u.: 6.85
Formation energy from the elements in eV per atom: -0.78

No. 3
Density functional theory data (PBE) for a relaxed structure of PrSn2Pd.

a = 7.4832 Å, b = 4.6731 Å, c = 11.4437 Å
α = 90.00°, β = 90.00°, γ = 90.00°
Closest atoms and distances in Å follow each position.
Sites, in units of the cell vectors:
Pr: 0.1988 0.2500 0.1400  9 Sn 3.31-3.64, 4 Pd 3.33-3.70
Pr: 0.3012 0.7500 0.6400  9 Sn 3.31-3.64, 4 Pd 3.33-3.70
Pr: 0.6988 0.2500 0.3600  9 Sn 3.31-3.64, 4 Pd 3.33-3.70
Pr: 0.8012 0.7500 0.8600  9 Sn 3.31-3.64, 4 Pd 3.33-3.70
Sn: 0.1147 0.2500 0.8511  2 Pd 2.61-2.77
Sn: 0.1671 0.2500 0.4373  3 Pd 2.69-2.74
Sn: 0.3329 0.7500 0.9373  3 Pd 2.69-2.74
Sn: 0.3853 0.7500 0.3511  2 Pd 2.61-2.77
Sn: 0.6147 0.2500 0.6489  2 Pd 2.61-2.77
Sn: 0.6671 0.2500 0.0627  3 Pd 2.69-2.74
Sn: 0.8329 0.7500 0.5627  3 Pd 2.69-2.74
Sn: 0.8853 0.7500 0.1489  2 Pd 2.61-2.77
Pd: 0.0153 0.7500 0.3605  5 Sn 2.61-2.77
Pd: 0.4847 0.2500 0.8605  5 Sn 2.61-2.77
Pd: 0.5153 0.7500 0.1395  5 Sn 2.61-2.77
Pd: 0.9847 0.2500 0.6395  5 Sn 2.61-2.77

Computed properties:
Density of states at the Fermi level in states/eV/f.u.: 1.29
Formation energy from the elements in eV per atom: -0.73

No. 4
Density functional theory data (PBE) for a relaxed structure of PrSn2Pd4.

a = 8.1109 Å, b = 8.1109 Å, c = 4.2764 Å
α = 90.00°, β = 90.00°, γ = 90.00°
Closest atoms and distances in Å follow each position.
Sites, in units of the cell vectors:
Pr: 0.0000 0.0000 0.0000  6 Sn 3.24-3.29, 12 Pd 3.53-3.62
Pr: 0.5000 0.5000 0.5000  6 Sn 3.24-3.29, 12 Pd 3.53-3.62
Sn: 0.2174 0.2174 0.5000  6 Pd 2.69-2.72
Sn: 0.2826 0.7174 0.0000  6 Pd 2.69-2.72
Sn: 0.7174 0.2826 0.0000  6 Pd 2.69-2.72
Sn: 0.7826 0.7826 0.5000  6 Pd 2.69-2.72
Pd: 0.0916 0.6519 0.5000  3 Sn 2.69-2.72, 6 Pd 2.88-2.95
Pd: 0.1519 0.4084 0.0000  3 Sn 2.69-2.72, 6 Pd 2.88-2.95
Pd: 0.3481 0.9084 0.5000  3 Sn 2.69-2.72, 6 Pd 2.88-2.95
Pd: 0.4084 0.1519 0.0000  3 Sn 2.69-2.72, 6 Pd 2.88-2.95
Pd: 0.5916 0.8481 0.0000  3 Sn 2.69-2.72, 6 Pd 2.88-2.95
Pd: 0.6519 0.0916 0.5000  3 Sn 2.69-2.72, 6 Pd 2.88-2.95
Pd: 0.8481 0.5916 0.0000  3 Sn 2.69-2.72, 6 Pd 2.88-2.95
Pd: 0.9084 0.3481 0.5000  3 Sn 2.69-2.72, 6 Pd 2.88-2.95

Computed properties:
Density of states at the Fermi level in states/eV/f.u.: 5.50
Formation energy from the elements in eV per atom: -0.65

No. 5
Density functional theory data (PBE) for a relaxed structure of PrSn3Pd3.

a = 7.2849 Å, b = 7.2849 Å, c = 7.2849 Å
α = 71.16°, β = 71.16°, γ = 71.16°
Closest atoms and distances in Å follow each position.
Sites, in units of the cell vectors:
Pr: 0.1698 0.1698 0.1698  6 Pd 2.98-3.01
Pr: 0.8302 0.8302 0.8302  6 Pd 2.98-3.01
Sn: 0.0840 0.3804 0.6964  4 Pd 2.65-2.88
Sn: 0.3036 0.9160 0.6196  4 Pd 2.65-2.88
Sn: 0.3804 0.6964 0.0840  4 Pd 2.65-2.88
Sn: 0.6196 0.3036 0.9160  4 Pd 2.65-2.88
Sn: 0.6964 0.0840 0.3804  4 Pd 2.65-2.88
Sn: 0.9160 0.6196 0.3036  4 Pd 2.65-2.88
Pd: 0.1156 0.7703 0.4425  4 Sn 2.65-2.88
Pd: 0.2297 0.5575 0.8844  4 Sn 2.65-2.88
Pd: 0.4425 0.1156 0.7703  4 Sn 2.65-2.88
Pd: 0.5575 0.8844 0.2297  4 Sn 2.65-2.88
Pd: 0.7703 0.4425 0.1156  4 Sn 2.65-2.88
Pd: 0.8844 0.2297 0.5575  4 Sn 2.65-2.88

Computed properties:
Density of states at the Fermi level in states/eV/f.u.: 0.99
Formation energy from the elements in eV per atom: -0.52

No. 6
Density functional theory data (PBE) for a relaxed structure of Pr4SnPd.

a = 5.5973 Å, b = 7.2309 Å, c = 8.9949 Å
α = 90.00°, β = 99.20°, γ = 90.00°
Closest atoms and distances in Å follow each position.
Sites, in units of the cell vectors:
Pr: 0.1529 0.2500 0.0491  2 Pd 2.86-3.04
Pr: 0.2100 0.7500 0.3670  1 Pd 3.05, 1 Sn 3.37
Pr: 0.3215 0.5223 0.7324  2 Pd 3.11-3.32, 1 Pr 3.29, 2 Sn 3.43-3.45
Pr: 0.3215 0.9777 0.7324  2 Pd 3.11-3.32, 1 Pr 3.29, 2 Sn 3.43-3.45
Pr: 0.6785 0.0223 0.2676  2 Pd 3.11-3.32, 1 Pr 3.29, 2 Sn 3.43-3.45
Pr: 0.6785 0.4777 0.2676  2 Pd 3.11-3.32, 1 Pr 3.29, 2 Sn 3.43-3.45
Pr: 0.7900 0.2500 0.6330  1 Pd 3.05, 1 Sn 3.37
Pr: 0.8471 0.7500 0.9509  2 Pd 2.86-3.04
Sn: 0.2284 0.2500 0.4164  11 Pr 3.26-3.64
Sn: 0.7716 0.7500 0.5836  11 Pr 3.26-3.64
Pd: 0.3572 0.7500 0.0555  5 Pr 2.86-3.11
Pd: 0.6428 0.2500 0.9445  5 Pr 2.86-3.11

Computed properties:
Density of states at the Fermi level in states/eV/f.u.: 7.70
Formation energy from the elements in eV per atom: -0.49

No. 7
Density functional theory data (PBE) for a relaxed structure of PrSn2Pd.

a = 10.6360 Å, b = 10.6360 Å, c = 10.6360 Å
α = 18.59°, β = 18.59°, γ = 18.59°
Closest atoms and distances in Å follow each position.
Sites, in units of the cell vectors:
Pr: 0.0000 0.0000 0.0000  2 Sn 3.24, 6 Pr 3.44
Sn: 0.1033 0.1033 0.1033  3 Pd 2.81
Sn: 0.8967 0.8967 0.8967  3 Pd 2.81
Pd: 0.5000 0.5000 0.5000  6 Sn 2.81

Computed properties:
Density of states at the Fermi level in states/eV/f.u.: 2.98
Formation energy from the elements in eV per atom: -0.15

No. 8
Density functional theory data (PBE) for a relaxed structure of Pr6Sn3Pd.

a = 9.6029 Å, b = 9.6029 Å, c = 7.2170 Å
α = 90.00°, β = 90.00°, γ = 107.11°
Closest atoms and distances in Å follow each position.
Sites, in units of the cell vectors:
Pr: 0.0540 0.9460 0.5000  1 Pd 2.81
Pr: 0.1116 0.5231 0.0829  1 Pd 3.01, 3 Sn 3.15-3.25
Pr: 0.2322 0.3264 0.7285  4 Sn 3.22-3.32, 1 Pr 3.57
Pr: 0.3073 0.6927 0.5307  1 Pd 3.34, 2 Pr 3.67, 1 Sn 3.70
Pr: 0.3264 0.2322 0.2285  4 Sn 3.22-3.32, 1 Pr 3.57
Pr: 0.4769 0.8884 0.0829  1 Pd 3.01, 3 Sn 3.15-3.25
Pr: 0.5231 0.1116 0.5829  1 Pd 3.01, 3 Sn 3.15-3.25
Pr: 0.6736 0.7678 0.7285  4 Sn 3.22-3.32, 1 Pr 3.57
Pr: 0.6927 0.3073 0.0307  1 Pd 3.34, 2 Pr 3.67, 1 Sn 3.70
Pr: 0.7678 0.6736 0.2285  4 Sn 3.22-3.32, 1 Pr 3.57
Pr: 0.8884 0.4769 0.5829  1 Pd 3.01, 3 Sn 3.15-3.25
Pr: 0.9460 0.0540 0.0000  1 Pd 2.81
Sn: 0.0152 0.2578 0.3640  1 Pd 2.87, 1 Sn 3.11, 2 Pr 3.15-3.17
Sn: 0.2578 0.0152 0.8640  1 Pd 2.87, 1 Sn 3.11, 2 Pr 3.15-3.17
Sn: 0.4533 0.5467 0.0274  6 Pr 3.25-3.32
Sn: 0.5467 0.4533 0.5274  6 Pr 3.25-3.32
Sn: 0.7422 0.9848 0.3640  1 Pd 2.87, 1 Sn 3.11, 2 Pr 3.15-3.17
Sn: 0.9848 0.7422 0.8640  1 Pd 2.87, 1 Sn 3.11, 2 Pr 3.15-3.17
Pd: 0.1623 0.8377 0.1867  3 Pr 2.81-3.01, 2 Sn 2.87
Pd: 0.8377 0.1623 0.6867  3 Pr 2.81-3.01, 2 Sn 2.87

Computed properties:
Density of states at the Fermi level in states/eV/f.u.: 8.66
Formation energy from the elements in eV per atom: -0.51

No. 9
Density functional theory data (PBE) for a relaxed structure of Pr2Sn3Pd.

a = 4.1894 Å, b = 4.8200 Å, c = 8.0437 Å
α = 90.00°, β = 90.00°, γ = 90.00°
Closest atoms and distances in Å follow each position.
Sites, in units of the cell vectors:
Pr: 0.0000 0.0000 0.0000  8 Sn 3.30-3.39, 4 Pd 3.52
Pr: 0.0000 0.5000 0.4994  2 Pd 3.30, 10 Sn 3.47-3.55
Sn: 0.5000 0.0000 0.3312  3 Sn 2.83-2.85
Sn: 0.5000 0.0000 0.6831  2 Pd 2.64, 1 Sn 2.83
Sn: 0.5000 0.5000 0.1426  1 Pd 2.63, 2 Sn 2.85
Pd: 0.5000 0.5000 0.8156  3 Sn 2.63-2.64

Computed properties:
Density of states at the Fermi level in states/eV/f.u.: 3.02
Formation energy from the elements in eV per atom: -0.69

No. 10
Density functional theory data (PBE) for a relaxed structure of Pr4Sn8Pd.

a = 4.4957 Å, b = 4.5574 Å, c = 17.5315 Å
α = 90.00°, β = 90.00°, γ = 90.00°
Closest atoms and distances in Å follow each position.
Sites, in units of the cell vectors:
Pr: 0.0000 0.0000 0.0000  10 Sn 3.26-3.42
Pr: 0.0000 0.5000 0.4870  10 Sn 3.29-3.63
Pr: 0.5000 0.0000 0.7896  8 Sn 3.41-3.69, 4 Pd 3.51
Pr: 0.5000 0.5000 0.2896  10 Sn 3.26-3.50
Sn: 0.0000 0.0000 0.3258  2 Sn 3.03, 4 Pr 3.26
Sn: 0.0000 0.0000 0.6256  2 Pd 2.69
Sn: 0.0000 0.5000 0.1434  4 Sn 3.20, 4 Pr 3.39-3.41
Sn: 0.0000 0.5000 0.8561  1 Pd 2.61
Sn: 0.5000 0.0000 0.1471  4 Sn 3.20, 4 Pr 3.38-3.42
Sn: 0.5000 0.0000 0.4414  2 Sn 3.03, 4 Pr 3.30
Sn: 0.5000 0.5000 0.6240  2 Pd 2.68
Sn: 0.5000 0.5000 0.9659  2 Sn 2.96, 4 Pr 3.26
Pd: 0.0000 0.5000 0.7071  5 Sn 2.61-2.69

Computed properties:
Density of states at the Fermi level in states/eV/f.u.: 6.47
Formation energy from the elements in eV per atom: -0.67

No. 11
Density functional theory data (PBE) for a relaxed structure of PrSnPd.

a = 5.5204 Å, b = 5.5204 Å, c = 5.5204 Å
α = 137.38°, β = 137.38°, γ = 61.85°
Closest atoms and distances in Å follow each position.
Sites, in units of the cell vectors:
Pr: 0.0000 0.0000 0.0000  5 Sn 3.07-3.29, 5 Pd 3.13-3.41
Sn: 0.6763 0.6763 0.0000  5 Pd 2.99-3.33, 5 Pr 3.07-3.29
Pd: 0.3603 0.3603 0.0000  5 Sn 2.99-3.33, 4 Pr 3.13

Computed properties:
Density of states at the Fermi level in states/eV/f.u.: 2.67
Formation energy from the elements in eV per atom: -0.48

No. 12
Density functional theory data (PBE) for a relaxed structure of PrSn2Pd3.

a = 4.8000 Å, b = 14.2281 Å, c = 3.6572 Å
α = 90.00°, β = 90.00°, γ = 90.00°
Closest atoms and distances in Å follow each position.
Sites, in units of the cell vectors:
Pr: 0.2500 0.2500 0.0035  8 Pd 3.01-3.15, 4 Sn 3.35
Pr: 0.7500 0.7500 0.9965  8 Pd 3.01-3.15, 4 Sn 3.35
Sn: 0.2500 0.5853 0.0016  8 Pd 2.86-3.04
Sn: 0.2500 0.9147 0.0016  8 Pd 2.86-3.04
Sn: 0.7500 0.0853 0.9984  8 Pd 2.86-3.04
Sn: 0.7500 0.4147 0.9984  8 Pd 2.86-3.04
Pd: 0.2500 0.0695 0.5031  6 Sn 2.86-3.04, 2 Pd 3.11, 2 Pr 3.15
Pd: 0.2500 0.4305 0.5031  6 Sn 2.86-3.04, 2 Pd 3.11, 2 Pr 3.15
Pd: 0.2500 0.7500 0.4978  4 Sn 2.96-2.98, 4 Pr 3.01-3.02
Pd: 0.7500 0.2500 0.5022  4 Sn 2.96-2.98, 4 Pr 3.01-3.02
Pd: 0.7500 0.5695 0.4969  6 Sn 2.86-3.04, 2 Pd 3.11, 2 Pr 3.15
Pd: 0.7500 0.9305 0.4969  6 Sn 2.86-3.04, 2 Pd 3.11, 2 Pr 3.15

Computed properties:
Density of states at the Fermi level in states/eV/f.u.: 2.82
Formation energy from the elements in eV per atom: -0.52

What did the sixth record say?
Density functional theory data (PBE) for a relaxed structure of Pr4SnPd.

a = 5.5973 Å, b = 7.2309 Å, c = 8.9949 Å
α = 90.00°, β = 99.20°, γ = 90.00°
Closest atoms and distances in Å follow each position.
Sites, in units of the cell vectors:
Pr: 0.1529 0.2500 0.0491  2 Pd 2.86-3.04
Pr: 0.2100 0.7500 0.3670  1 Pd 3.05, 1 Sn 3.37
Pr: 0.3215 0.5223 0.7324  2 Pd 3.11-3.32, 1 Pr 3.29, 2 Sn 3.43-3.45
Pr: 0.3215 0.9777 0.7324  2 Pd 3.11-3.32, 1 Pr 3.29, 2 Sn 3.43-3.45
Pr: 0.6785 0.0223 0.2676  2 Pd 3.11-3.32, 1 Pr 3.29, 2 Sn 3.43-3.45
Pr: 0.6785 0.4777 0.2676  2 Pd 3.11-3.32, 1 Pr 3.29, 2 Sn 3.43-3.45
Pr: 0.7900 0.2500 0.6330  1 Pd 3.05, 1 Sn 3.37
Pr: 0.8471 0.7500 0.9509  2 Pd 2.86-3.04
Sn: 0.2284 0.2500 0.4164  11 Pr 3.26-3.64
Sn: 0.7716 0.7500 0.5836  11 Pr 3.26-3.64
Pd: 0.3572 0.7500 0.0555  5 Pr 2.86-3.11
Pd: 0.6428 0.2500 0.9445  5 Pr 2.86-3.11

Computed properties:
Density of states at the Fermi level in states/eV/f.u.: 7.70
Formation energy from the elements in eV per atom: -0.49